Model P:
## Al2AgAu2 (PBE)

Data for Al2AgAu2 after structural relaxation.

Properties
Total magnetization (μB per atom): 0.00

Cell and atoms, written as CIF:
```
data_Al2AgAu2
_space_group_name_H-M_alt 'I 4/m m m'
_space_group_IT_number 139
_space_group_name_Hall '-I 4 2'
_cell_length_a 4.178
_cell_length_b 4.178
_cell_length_c 11.190
_cell_angle_alpha 90.00
_cell_angle_beta 90.00
_cell_angle_gamma 90.00
loop_
_atom_site_label
_atom_site_type_symbol
_atom_site_fract_x
_atom_site_fract_y
_atom_site_fract_z
Al1 Al 0.000 0.000 0.112
Ag1 Ag 0.000 0.000 0.500
Au1 Au 0.000 0.500 0.250
```

***

Model Q:
## Al2AgAu2 (PBE)

Data for Al2AgAu2 after structural relaxation.

Properties
Total magnetization (μB per atom): 0.00

Cell and atoms, written as CIF:
```
data_Al2AgAu2
_space_group_name_H-M_alt 'I 4/m m m'
_space_group_IT_number 139
_space_group_name_Hall '-I 4 2'
_cell_length_a 3.966
_cell_length_b 3.966
_cell_length_c 11.988
_cell_angle_alpha 90.00
_cell_angle_beta 90.00
_cell_angle_gamma 90.00
loop_
_atom_site_label
_atom_site_type_symbol
_atom_site_fract_x
_atom_site_fract_y
_atom_site_fract_z
Al1 Al 0.000 0.500 0.250
Ag1 Ag 0.000 0.000 0.000
Au1 Au 0.000 0.000 0.386
```

***

Model R:
## Al2AgAu2 (PBE)

Data for Al2AgAu2 after structural relaxation.

Properties
Total magnetization (μB per atom): 0.00

Cell and atoms, written as CIF:
```
data_Al2AgAu2
_space_group_name_H-M_alt 'P 4/m b m'
_space_group_IT_number 127
_space_group_name_Hall '-P 4 2ab'
_cell_length_a 7.541
_cell_length_b 7.541
_cell_length_c 3.056
_cell_angle_alpha 90.00
_cell_angle_beta 90.00
_cell_angle_gamma 90.00
loop_
_atom_site_label
_atom_site_type_symbol
_atom_site_fract_x
_atom_site_fract_y
_atom_site_fract_z
Al1 Al 0.161 0.339 0.000
Ag1 Ag 0.000 0.000 0.500
Au1 Au 0.139 0.639 0.500
```

***

Least stable structure among those shown: model P.